DFT (PBE-GGA) results for an optimized crystal structure of DyGe6Rh5.

formation enthalpy at 0 K	-0.471	eV/atom
size of the total moment	0.000	μB per atom
VASP energy	-6.23	eV/atom

Unit cell a=6.936 b=5.488 c=6.323 alpha=64.28 beta=79.98 gamma=66.36
Sites, in units of the cell vectors:
Dy  0.000  0.000  0.000
Ge  0.694  0.094  0.384
Ge  0.306  0.522  0.384
Ge  0.213  0.356  0.000
Ge  0.787  0.644  0.000
Ge  0.694  0.478  0.616
Ge  0.306  0.906  0.616
Rh  0.500  0.123  0.755
Rh  0.000  0.307  0.386
Rh  0.500  0.500  0.000
Rh  0.000  0.693  0.614
Rh  0.500  0.877  0.245